# 1
First-principles (PBE-GGA) data for a geometry-optimized Rb2MgP2 structure, as listed in Alexandria via LeMat-Bulk.

Electronic total energy ... -3.0959 eV/atom
DOS(E_F) ... 0.0751 states/eV/atom

abc: 6.934 6.934 5.695
angles: 90.00 90.00 90.00
Element x y z (fractional)
1 Rb 0.173 0.327 0.000
2 Rb 0.327 0.827 0.000
3 Rb 0.673 0.173 0.000
4 Rb 0.827 0.673 0.000
5 Mg 0.000 0.000 0.500
6 Mg 0.500 0.500 0.500
7 P 0.116 0.616 0.500
8 P 0.384 0.116 0.500
9 P 0.616 0.884 0.500
10 P 0.884 0.384 0.500



# 2
First-principles (PBE-GGA) data for a geometry-optimized RbMgP structure, as listed in Alexandria via LeMat-Bulk.

Electronic total energy ... -3.1242 eV/atom

abc: 6.725 4.580 7.671
angles: 90.00 110.41 90.00
Element x y z (fractional)
1 Rb 0.200 0.250 0.373
2 Rb 0.800 0.750 0.627
3 Mg 0.404 0.250 0.894
4 Mg 0.596 0.750 0.106
5 P 0.350 0.750 0.757
6 P 0.650 0.250 0.243



# 3
First-principles (PBE-GGA) data for a geometry-optimized RbMgP structure, as listed in Alexandria via LeMat-Bulk.

Electronic total energy ... -3.1312 eV/atom

abc: 4.379 4.379 5.542
angles: 90.00 90.00 120.00
Element x y z (fractional)
1 Rb 0.000 0.000 0.000
2 Mg 0.333 0.667 0.500
3 P 0.667 0.333 0.500



# 4
First-principles (PBE-GGA) data for a geometry-optimized RbMg2P2 structure, as listed in Alexandria via LeMat-Bulk.

Offset from the most stable computed form ... 0.009 eV/atom
DOS(E_F) ... 0.5247 states/eV/atom

abc: 6.899 6.899 6.899
angles: 136.90 136.90 62.59
Element x y z (fractional)
1 Rb 0.000 0.000 0.000
2 Mg 0.292 0.292 0.000
3 Mg 0.708 0.708 0.000
4 P 0.250 0.750 0.500
5 P 0.750 0.250 0.500



# 5
First-principles (PBE-GGA) data for a geometry-optimized RbMgPS4 structure, as listed in Alexandria via LeMat-Bulk.

Formation energy (no corrections) ... -871 meV/atom
DOS(E_F) ... 0.0000 states/eV/atom

abc: 6.153 6.746 8.922
angles: 90.00 108.02 90.00
Element x y z (fractional)
1 Rb 0.245 0.250 0.436
2 Rb 0.755 0.750 0.564
3 Mg 0.271 0.250 0.951
4 Mg 0.729 0.750 0.049
5 P 0.284 0.750 0.160
6 P 0.716 0.250 0.840
7 S 0.063 0.750 0.937
8 S 0.095 0.750 0.312
9 S 0.496 0.010 0.805
10 S 0.496 0.490 0.805
11 S 0.504 0.510 0.195
12 S 0.504 0.990 0.195
13 S 0.905 0.250 0.688
14 S 0.937 0.250 0.063



# 6
First-principles (PBE-GGA) data for a geometry-optimized RbMg3P4S12 structure, as listed in Alexandria via LeMat-Bulk.

Formation energy (no corrections) ... -432 meV/atom
DOS(E_F) ... 0.2127 states/eV/atom

abc: 8.196 8.196 8.196
angles: 102.28 102.28 102.28
Element x y z (fractional)
1 Rb 0.000 0.000 0.000
2 Mg 0.000 0.544 0.456
3 Mg 0.456 0.000 0.544
4 Mg 0.544 0.456 0.000
5 P 0.054 0.500 0.946
6 P 0.500 0.500 0.500
7 P 0.500 0.946 0.054
8 P 0.946 0.054 0.500
9 S 0.039 0.647 0.781
10 S 0.103 0.897 0.500
11 S 0.219 0.353 0.961
12 S 0.342 0.658 0.500
13 S 0.353 0.961 0.219
14 S 0.500 0.103 0.897
15 S 0.500 0.342 0.658
16 S 0.647 0.781 0.039
17 S 0.658 0.500 0.342
18 S 0.781 0.039 0.647
19 S 0.897 0.500 0.103
20 S 0.961 0.219 0.353



# 7
First-principles (PBE-GGA) data for a geometry-optimized RbMgPS2 structure, as listed in Alexandria via LeMat-Bulk.

Formation energy (no corrections) ... 315 meV/atom
Offset from the most stable computed form ... 0.381 eV/atom
DOS(E_F) ... 0.7341 states/eV/atom

abc: 4.788 4.788 5.916
angles: 90.00 90.00 90.00
Element x y z (fractional)
1 Rb 0.000 0.000 0.000
2 Mg 0.500 0.500 0.000
3 P 0.000 0.000 0.500
4 S 0.000 0.500 0.500
5 S 0.500 0.000 0.500



# 8
First-principles (PBE-GGA) data for a geometry-optimized Rb2MgP2S6 structure, as listed in Alexandria via LeMat-Bulk.

Formation energy (no corrections) ... -749 meV/atom
DOS(E_F) ... 0.0022 states/eV/atom

abc: 7.812 7.812 7.812
angles: 52.25 52.25 52.25
Element x y z (fractional)
1 Rb 0.237 0.237 0.237
2 Rb 0.763 0.763 0.763
3 Mg 0.000 0.000 0.000
4 P 0.442 0.442 0.442
5 P 0.558 0.558 0.558
6 S 0.245 0.746 0.746
7 S 0.254 0.254 0.755
8 S 0.254 0.755 0.254
9 S 0.746 0.245 0.746
10 S 0.746 0.746 0.245
11 S 0.755 0.254 0.254



# 9
First-principles (PBE-GGA) data for a geometry-optimized RbMgP2S structure, as listed in Alexandria via LeMat-Bulk.

Formation energy (no corrections) ... 1578 meV/atom
Offset from the most stable computed form ... 1.350 eV/atom
DOS(E_F) ... 1.3184 states/eV/atom

abc: 5.401 5.401 5.540
angles: 90.00 90.00 90.00
Element x y z (fractional)
1 Rb 0.000 0.000 0.000
2 Mg 0.500 0.500 0.500
3 P 0.000 0.500 0.000
4 P 0.500 0.000 0.000
5 S 0.000 0.000 0.500



# 10
First-principles (PBE-GGA) data for a geometry-optimized RbMgP2S structure, as listed in Alexandria via LeMat-Bulk.

Formation energy (no corrections) ... 228 meV/atom
Offset from the most stable computed form ... 0.000 eV/atom
DOS(E_F) ... 0.7625 states/eV/atom

abc: 4.989 4.989 5.106
angles: 90.00 90.00 90.00
Element x y z (fractional)
1 Rb 0.000 0.000 0.000
2 Mg 0.500 0.500 0.500
3 P 0.000 0.500 0.500
4 P 0.500 0.000 0.500
5 S 0.500 0.500 0.000



# 11
First-principles (PBE-GGA) data for a geometry-optimized Rb2MgPS4 structure, as listed in Alexandria via LeMat-Bulk.

Formation energy (no corrections) ... -831 meV/atom
DOS(E_F) ... 0.6531 states/eV/atom

abc: 13.879 12.393 7.530
angles: 84.57 62.74 32.69
Element x y z (fractional)
1 Rb 0.054 0.054 0.696
2 Rb 0.304 0.304 0.946
3 Rb 0.696 0.696 0.054
4 Rb 0.946 0.946 0.304
5 Mg 0.125 0.125 0.125
6 Mg 0.875 0.875 0.875
7 P 0.375 0.375 0.375
8 P 0.625 0.625 0.625
9 S 0.011 0.639 0.552
10 S 0.298 0.552 0.639
11 S 0.361 0.989 0.702
12 S 0.448 0.702 0.989
13 S 0.552 0.298 0.011
14 S 0.639 0.011 0.298
15 S 0.702 0.448 0.361
16 S 0.989 0.361 0.448



# 12
First-principles (PBE-GGA) data for a geometry-optimized RbMgPS2 structure, as listed in Alexandria via LeMat-Bulk.

Formation energy (no corrections) ... 1299 meV/atom
Offset from the most stable computed form ... 1.365 eV/atom
DOS(E_F) ... 1.4635 states/eV/atom

abc: 5.481 5.481 5.337
angles: 90.00 90.00 90.00
Element x y z (fractional)
1 Rb 0.000 0.000 0.000
2 Mg 0.500 0.500 0.500
3 P 0.000 0.000 0.500
4 S 0.000 0.500 0.000
5 S 0.500 0.000 0.000



# 13
First-principles (PBE-GGA) data for a geometry-optimized RbMgPS2 structure, as listed in Alexandria via LeMat-Bulk.

Formation energy (no corrections) ... -66 meV/atom
Offset from the most stable computed form ... 0.000 eV/atom
DOS(E_F) ... 1.0638 states/eV/atom

abc: 5.053 5.053 4.935
angles: 90.00 90.00 90.00
Element x y z (fractional)
1 Rb 0.000 0.000 0.000
2 Mg 0.500 0.500 0.500
3 P 0.500 0.500 0.000
4 S 0.000 0.500 0.500
5 S 0.500 0.000 0.500



# 14
First-principles (PBE-GGA) data for a geometry-optimized RbMgPSe4 structure, as listed in Alexandria via LeMat-Bulk.

Formation energy (no corrections) ... -696 meV/atom

abc: 6.450 7.112 9.373
angles: 90.00 108.45 90.00
Element x y z (fractional)
1 Rb 0.236 0.250 0.062
2 Rb 0.764 0.750 0.938
3 Mg 0.235 0.250 0.555
4 Mg 0.765 0.750 0.445
5 P 0.206 0.750 0.337
6 P 0.794 0.250 0.663
7 Se 0.022 0.004 0.698
8 Se 0.022 0.496 0.698
9 Se 0.399 0.750 0.179
10 Se 0.442 0.750 0.567
11 Se 0.558 0.250 0.433
12 Se 0.601 0.250 0.821
13 Se 0.978 0.504 0.302
14 Se 0.978 0.996 0.302



# 15
First-principles (PBE-GGA) data for a geometry-optimized Rb2MgPSe4 structure, as listed in Alexandria via LeMat-Bulk.

Formation energy (no corrections) ... -768 meV/atom
DOS(E_F) ... 0.6363 states/eV/atom

abc: 14.361 12.842 7.790
angles: 84.45 62.88 32.67
Element x y z (fractional)
1 Rb 0.055 0.055 0.695
2 Rb 0.305 0.305 0.945
3 Rb 0.695 0.695 0.055
4 Rb 0.945 0.945 0.305
5 Mg 0.125 0.125 0.125
6 Mg 0.875 0.875 0.875
7 P 0.375 0.375 0.375
8 P 0.625 0.625 0.625
9 Se 0.001 0.645 0.554
10 Se 0.301 0.554 0.645
11 Se 0.355 0.999 0.699
12 Se 0.446 0.699 0.999
13 Se 0.554 0.301 0.001
14 Se 0.645 0.001 0.301
15 Se 0.699 0.446 0.355
16 Se 0.999 0.355 0.446



# 16
First-principles (PBE-GGA) data for a geometry-optimized Mg4ReP structure, as listed in Alexandria via LeMat-Bulk.

Electronic total energy ... -3.3519 eV/atom
DOS(E_F) ... 0.8322 states/eV/atom

abc: 5.335 5.335 5.335
angles: 60.00 60.00 60.00
Element x y z (fractional)
1 Mg 0.376 0.376 0.376
2 Mg 0.376 0.376 0.872
3 Mg 0.376 0.872 0.376
4 Mg 0.872 0.376 0.376
5 Re 0.750 0.750 0.750
6 P 0.000 0.000 0.000



# 17
First-principles (PBE-GGA) data for a geometry-optimized MgReP2 structure, as listed in Alexandria via LeMat-Bulk.

Electronic total energy ... -6.3638 eV/atom
DOS(E_F) ... 0.7304 states/eV/atom

abc: 3.014 3.014 6.587
angles: 90.00 90.00 90.00
Element x y z (fractional)
1 Mg 0.000 0.000 0.000
2 Re 0.000 0.000 0.500
3 P 0.500 0.500 0.284
4 P 0.500 0.500 0.716



# 18
First-principles (PBE-GGA) data for a geometry-optimized MgReP2 structure, as listed in Alexandria via LeMat-Bulk.

Electronic total energy ... -6.3433 eV/atom
DOS(E_F) ... 0.5076 states/eV/atom

abc: 4.151 4.151 5.219
angles: 98.81 98.81 45.21
Element x y z (fractional)
1 Mg 0.000 0.000 0.000
2 Re 0.500 0.500 0.500
3 P 0.228 0.228 0.696
4 P 0.772 0.772 0.304



# 19
First-principles (PBE-GGA) data for a geometry-optimized Mg2ReP structure, as listed in Alexandria via LeMat-Bulk.

Electronic total energy ... -4.9704 eV/atom
DOS(E_F) ... 0.5539 states/eV/atom

abc: 3.523 4.155 4.184
angles: 90.00 90.00 90.00
Element x y z (fractional)
1 Mg 0.000 0.000 0.000
2 Mg 0.500 0.000 0.500
3 Re 0.000 0.500 0.500
4 P 0.500 0.500 0.000



# 20
First-principles (PBE-GGA) data for a geometry-optimized MgReP3 structure, as listed in Alexandria via LeMat-Bulk.

Offset from the most stable computed form ... 0.000 eV/atom
DOS(E_F) ... 0.7615 states/eV/atom

abc: 4.676 4.676 4.676
angles: 90.00 90.00 90.00
Element x y z (fractional)
1 Mg 0.000 0.000 0.000
2 Re 0.500 0.500 0.500
3 P 0.000 0.500 0.500
4 P 0.500 0.000 0.500
5 P 0.500 0.500 0.000



# 21
First-principles (PBE-GGA) data for a geometry-optimized MgReP2 structure, as listed in Alexandria via LeMat-Bulk.

Electronic total energy ... -6.3231 eV/atom
DOS(E_F) ... 0.4091 states/eV/atom

abc: 3.332 4.052 4.731
angles: 90.00 90.00 90.00
Element x y z (fractional)
1 Mg 0.000 0.000 0.000
2 Re 0.500 0.000 0.500
3 P 0.500 0.500 0.232
4 P 0.500 0.500 0.768



# 22
First-principles (PBE-GGA) data for a geometry-optimized Mg2ReP structure, as listed in Alexandria via LeMat-Bulk.

Electronic total energy ... -4.8701 eV/atom
DOS(E_F) ... 0.6653 states/eV/atom

abc: 4.432 4.432 4.432
angles: 60.00 60.00 60.00
Element x y z (fractional)
1 Mg 0.000 0.000 0.000
2 Mg 0.250 0.250 0.250
3 Re 0.750 0.750 0.750
4 P 0.500 0.500 0.500



# 23
First-principles (PBE-GGA) data for a geometry-optimized MgReP2 structure, as listed in Alexandria via LeMat-Bulk.

Electronic total energy ... -6.1990 eV/atom
DOS(E_F) ... 0.5888 states/eV/atom

abc: 3.158 3.158 6.076
angles: 90.00 90.00 90.00
Element x y z (fractional)
1 Mg 0.000 0.000 0.000
2 Re 0.500 0.500 0.668
3 P 0.000 0.000 0.512
4 P 0.500 0.500 0.258



# 24
First-principles (PBE-GGA) data for a geometry-optimized MgRe4P structure, as listed in Alexandria via LeMat-Bulk.

Electronic total energy ... -8.8366 eV/atom
DOS(E_F) ... 0.6873 states/eV/atom

abc: 5.225 5.225 5.225
angles: 60.00 60.00 60.00
Element x y z (fractional)
1 Mg 0.000 0.000 0.000
2 Re 0.376 0.376 0.376
3 Re 0.376 0.376 0.873
4 Re 0.376 0.873 0.376
5 Re 0.873 0.376 0.376
6 P 0.750 0.750 0.750



# 25
First-principles (PBE-GGA) data for a geometry-optimized MgReP2 structure, as listed in Alexandria via LeMat-Bulk.

Electronic total energy ... -6.4254 eV/atom
DOS(E_F) ... 0.4660 states/eV/atom

abc: 4.251 4.251 6.130
angles: 107.96 107.96 43.05
Element x y z (fractional)
1 Mg 0.000 0.000 0.000
2 Re 0.662 0.662 0.443
3 P 0.220 0.220 0.756
4 P 0.354 0.354 0.363